# CeHI, optimized geometry, DFT PBE
# ρ   6.15 g cm⁻³
# E   -25.00 eV per cell
# Density of states at the Fermi level   2.007 states/eV per atom
data_CeHI
_chemical_formula_sum 'Ce2 H2 I2'
_cell_length_a 3.638
_cell_length_b 3.638
_cell_length_c 10.934
_cell_angle_alpha 90.00
_cell_angle_beta 90.00
_cell_angle_gamma 90.00
_symmetry_space_group_name_H-M 'I 4 m m'
_symmetry_Int_Tables_number 107
_symmetry_space_group_name_Hall 'I 4 -2'
loop_
_atom_site_label
_atom_site_type_symbol
_atom_site_fract_x
_atom_site_fract_y
_atom_site_fract_z
Ce1 Ce 0.000 0.000 0.000
H1 H 0.000 0.000 0.563
I1 I 0.000 0.000 0.303

=====

# Tm3MgPb3, optimized geometry, DFT PBE
# ρ   10.00 g cm⁻³
# E above lowest polymorph   0 meV per atom
# Energy relative to the elements   -0.330 eV per atom
# Density of states at the Fermi level   0.559 states/eV per atom
data_Tm3MgPb3
_chemical_formula_sum 'Tm12 Mg4 Pb12'
_cell_length_a 11.718
_cell_length_b 4.685
_cell_length_c 14.398
_cell_angle_alpha 90.00
_cell_angle_beta 104.47
_cell_angle_gamma 90.00
_symmetry_space_group_name_H-M 'C 1 2/m 1'
_symmetry_Int_Tables_number 12
loop_
_symmetry_equiv_pos_as_xyz
'x,y,z'
'-x,-y,-z'
'-x,y,-z'
'x,-y,z'
'x+1/2,y+1/2,z'
'-x+1/2,-y+1/2,-z'
'-x+1/2,y+1/2,-z'
'x+1/2,-y+1/2,z'
loop_
_atom_site_label
_atom_site_type_symbol
_atom_site_fract_x
_atom_site_fract_y
_atom_site_fract_z
Tm1 Tm 0.034 0.000 0.385
Tm2 Tm 0.082 0.000 0.912
Tm3 Tm 0.233 0.000 0.213
Mg1 Mg 0.235 0.500 0.378
Pb1 Pb 0.011 0.500 0.233
Pb2 Pb 0.139 0.500 0.555
Pb3 Pb 0.142 0.500 0.065

=====

# CaNd2Sm, optimized geometry, DFT PBE
# ρ   5.50 g cm⁻³
# E above lowest polymorph   0 meV per atom
# Energy relative to the elements   0.035 eV per atom
# Density of states at the Fermi level   1.452 states/eV per atom
data_CaNd2Sm
_chemical_formula_sum 'Ca3 Nd6 Sm3'
_cell_length_a 3.6914
_cell_length_b 3.6914
_cell_length_c 36.7473
_cell_angle_alpha 90.00
_cell_angle_beta 90.00
_cell_angle_gamma 120.00
_symmetry_space_group_name_H-M 'R 3 m'
_symmetry_Int_Tables_number 160
_symmetry_space_group_name_Hall 'R 3 -2"'
loop_
_atom_site_label
_atom_site_type_symbol
_atom_site_fract_x
_atom_site_fract_y
_atom_site_fract_z
Ca1 Ca 0.0000 0.0000 0.0000
Nd1 Nd 0.0000 0.0000 0.5790
Nd2 Nd 0.0000 0.0000 0.7535
Sm1 Sm 0.0000 0.0000 0.1661

=====

# Cs2H4Pb, optimized geometry, DFT PBE
# ρ   4.70 g cm⁻³
# E   -37.57 eV per cell
# Density of states at the Fermi level   0.037 states/eV per atom
data_Cs2H4Pb
_chemical_formula_sum 'Cs4 H8 Pb2'
_cell_length_a 4.656
_cell_length_b 4.656
_cell_length_c 15.561
_cell_angle_alpha 90.00
_cell_angle_beta 90.00
_cell_angle_gamma 90.00
_symmetry_space_group_name_H-M 'I 4/m m m'
_symmetry_Int_Tables_number 139
_symmetry_space_group_name_Hall '-I 4 2'
loop_
_atom_site_label
_atom_site_type_symbol
_atom_site_fract_x
_atom_site_fract_y
_atom_site_fract_z
Cs1 Cs 0.000 0.000 0.146
H1 H 0.000 0.000 0.348
H2 H 0.000 0.500 0.000
Pb1 Pb 0.000 0.000 0.500

=====

> Which of these has the lowest density of states at the Fermi level?

Cs2H4Pb

=====

> Which value of ρ does entry 3 give?

5.50 g cm⁻³

=====

> The highest ρ belongs to which entry?

Tm3MgPb3

=====

> Among the records above, which one has the lowest density of states at the Fermi level?

Cs2H4Pb